VASP calculation (PBE+U) on a relaxed structure of MgV3O8.

abc: 10.5635 8.7007 13.8829
angles: 90.00 101.36 90.00
Space group C2/c (No. 15)
Unique sites:
Mg (0.2169, 0.0657, 0.3557) [8 per cell]
V (0.0153, 0.2554, 0.8900) [8 per cell]
V (0.0790, 0.2522, 0.1493) [8 per cell]
V (0.2198, 0.4299, 0.3652) [8 per cell]
O (0.0700, 0.2685, 0.0230) [8 per cell]
O (0.0790, 0.4148, 0.8463) [8 per cell]
O (0.0797, 0.0946, 0.8559) [8 per cell]
O (0.0880, 0.2531, 0.3402) [8 per cell]
O (0.1561, 0.2494, 0.6415) [8 per cell]
O (0.1630, 0.0828, 0.1854) [8 per cell]
O (0.1674, 0.4089, 0.1986) [8 per cell]
O (0.2498, 0.0580, 0.5122) [8 per cell]

Output
Its density is 3.24 g/cm3. As for the magnetization: 8.0 μB per cell. The calculation puts the total energy at -7.348 eV/atom.